1.
First-principles (PBE) data for a geometry-optimized Zr2TlSb structure, as listed in the Alexandria database.

The structure belongs to space group P4mm (No. 99); the cell edges are 3.956, 3.956 and 6.097 Å and the angles 90.00°, 90.00° and 90.00°. The inequivalent atoms are Zr at (0.000, 0.000, 0.000), Zr at (0.500, 0.500, 0.265), Tl at (0.500, 0.500, 0.777) and Sb at (0.000, 0.000, 0.479).

The formation energy from raw total energies is -95 kJ/mol of formula units.

=====

2.
First-principles (PBE) data for a geometry-optimized ZrTl2Sb structure, as listed in the Alexandria database.

The structure belongs to space group C2/m (No. 12); the cell edges are 16.097, 3.186 and 4.890 Å and the angles 90.00°, 107.53° and 90.00°. The inequivalent atoms are Zr at (0.000, 0.000, 0.000), Tl at (0.186, 0.500, 0.186) and Sb at (0.000, 0.500, 0.500).

The calculation puts the energy relative to the lowest polymorph listed for this composition at 0.31 eV/f.u. The formation energy from raw total energies is -19 kJ/mol of formula units.

=====

3.
First-principles (PBE) data for a geometry-optimized ZrTlSb structure, as listed in the Alexandria database.

The structure belongs to space group F-43m (No. 216); the cell edges are 7.023, 7.023 and 7.023 Å and the angles 90.00°, 90.00° and 90.00°. The inequivalent atoms are Zr at (0.000, 0.000, 0.000), Tl at (0.250, 0.250, 0.250) and Sb at (0.250, 0.250, 0.750).

The calculation puts the energy relative to the lowest polymorph listed for this composition at 0.89 eV/f.u. The formation energy from raw total energies is 35 kJ/mol of formula units.

=====

4.
First-principles (PBE) data for a geometry-optimized ZrTl2Sb structure, as listed in the Alexandria database.

The structure belongs to space group P2/m (No. 10); the cell edges are 3.266, 5.998 and 5.358 Å and the angles 90.00°, 92.41° and 90.00°. The inequivalent atoms are Zr at (0.000, 0.000, 0.000), Tl at (0.249, 0.500, 0.753) and Sb at (0.500, 0.000, 0.500).

The calculation puts the energy relative to the lowest polymorph listed for this composition at 0.79 eV/f.u. The formation energy from raw total energies is 27 kJ/mol of formula units.

=====

5.
First-principles (PBE) data for a geometry-optimized ZrTl2Sb structure, as listed in the Alexandria database.

The structure belongs to space group P4mm (No. 99); the cell edges are 3.277, 3.277 and 10.084 Å and the angles 90.00°, 90.00° and 90.00°. The inequivalent atoms are Zr at (0.000, 0.000, 0.000), Tl at (0.000, 0.000, 0.516), Tl at (0.500, 0.500, 0.780) and Sb at (0.500, 0.500, 0.211).

The calculation puts the energy relative to the lowest polymorph listed for this composition at 0.16 eV/f.u. The formation energy from raw total energies is -34 kJ/mol of formula units.

=====

6.
First-principles (PBE) data for a geometry-optimized Zr2TlSb structure, as listed in the Alexandria database.

The structure belongs to space group R-3m (No. 166, hexagonal axes); the cell edges are 3.3224, 3.3224 and 29.5544 Å and the angles 90.00°, 90.00° and 120.00°. The inequivalent atoms are Zr at (0.0000, 0.0000, 0.2477), Tl at (0.0000, 0.0000, 0.0000) and Sb at (0.0000, 0.0000, 0.5000).

The formation energy from raw total energies is -53 kJ/mol of formula units.

=====

7.
First-principles (PBE) data for a geometry-optimized Zr2TlSb structure, as listed in the Alexandria database.

The structure belongs to space group I-4m2 (No. 119); the cell edges are 4.299, 4.299 and 9.966 Å and the angles 90.00°, 90.00° and 90.00°. The inequivalent atoms are Zr at (0.000, 0.000, 0.000), Zr at (0.000, 0.500, 0.250), Tl at (0.000, 0.500, 0.750) and Sb at (0.000, 0.000, 0.500).

The formation energy from raw total energies is -95 kJ/mol of formula units.

=====

8.
First-principles (PBE) data for a geometry-optimized ZrTl2Sb structure, as listed in the Alexandria database.

The structure belongs to space group R-3m (No. 166, hexagonal axes); the cell edges are 3.3954, 3.3954 and 31.4772 Å and the angles 90.00°, 90.00° and 120.00°. The inequivalent atoms are Zr at (0.0000, 0.0000, 0.0000), Tl at (0.0000, 0.0000, 0.2540) and Sb at (0.0000, 0.0000, 0.5000).

The calculation puts the energy relative to the lowest polymorph listed for this composition at 1.26 eV/f.u. The formation energy from raw total energies is 73 kJ/mol of formula units.

=====

9.
First-principles (PBE) data for a geometry-optimized Zr2Tl4Sb structure, as listed in the Alexandria database.

The structure belongs to space group I4/mmm (No. 139); the cell edges are 5.733, 5.733 and 14.845 Å and the angles 90.00°, 90.00° and 90.00°. The inequivalent atoms are Zr at (0.000, 0.000, 0.090), Tl at (0.000, 0.000, 0.297), Tl at (0.000, 0.500, 0.000) and Sb at (0.000, 0.000, 0.500).

The formation energy from raw total energies is 415 kJ/mol of formula units.

=====

10.
First-principles (PBE) data for a geometry-optimized ZrTl2Sb structure, as listed in the Alexandria database.

The structure belongs to space group P4/mmm (No. 123); the cell edges are 4.418, 4.418 and 5.258 Å and the angles 90.00°, 90.00° and 90.00°. The inequivalent atoms are Zr at (0.000, 0.000, 0.000), Tl at (0.000, 0.500, 0.500) and Sb at (0.500, 0.500, 0.000).

The calculation puts the energy relative to the lowest polymorph listed for this composition at 0.72 eV/f.u. The formation energy from raw total energies is 21 kJ/mol of formula units.

=====

11.
First-principles (PBE) data for a geometry-optimized Zr4TlSb structure, as listed in the Alexandria database.

The structure belongs to space group F-43m (No. 216); the cell edges are 8.288, 8.288 and 8.288 Å and the angles 90.00°, 90.00° and 90.00°. The inequivalent atoms are Zr at (0.125, 0.125, 0.125), Tl at (0.000, 0.000, 0.500) and Sb at (0.250, 0.250, 0.750).

The formation energy from raw total energies is 84 kJ/mol of formula units.

=====

12.
First-principles (PBE) data for a geometry-optimized ZrTlSb structure, as listed in the Alexandria database.

The structure belongs to space group I4mm (No. 107); the cell edges are 3.793, 3.793 and 10.339 Å and the angles 90.00°, 90.00° and 90.00°. The inequivalent atoms are Zr at (0.000, 0.000, 0.000), Tl at (0.000, 0.000, 0.317) and Sb at (0.000, 0.000, 0.625).

The calculation puts the energy relative to the lowest polymorph listed for this composition at 0.00 eV/f.u. The formation energy from raw total energies is -51 kJ/mol of formula units.

=====

Question: What is the formula in the first record?
Answer: Zr2TlSb